[1]
This record from Alexandria describes a geometry-optimized Zr2Pt structure. The functional is GGA-PBE.

Cell: 4.179 4.179 13.859 Å, 98.67 98.67 90.00°
Element x y z (fractional)
Zr  0.838  0.338  0.676
Zr  0.747  0.747  0.493
Zr  0.588  0.588  0.176
Pt  0.166  0.666  0.333
Pt  0.916  0.916  0.833
Pt  0.334  0.834  0.667
Zr  0.503  0.003  0.007
Zr  0.412  0.412  0.824
Pt  0.084  0.084  0.167
Zr  0.253  0.253  0.507
Zr  0.997  0.497  0.993
Zr  0.662  0.162  0.324

DFT formation energy: -0.597 eV/atom



[2]
This record from Alexandria describes a geometry-optimized TlCdCo structure. The functional is GGA-PBE.

Cell: 4.435 4.435 4.435 Å, 60.00 60.00 60.00°
Element x y z (fractional)
Tl  0.000  0.000  0.000
Co  0.750  0.750  0.750
Cd  0.500  0.500  0.500

E above lowest polymorph: 5 meV per atom
DFT formation energy: 0.439 eV/atom



[3]
This record from Alexandria describes a geometry-optimized Ti3AuC structure. The functional is GGA-PBE.

Cell: 8.083 3.105 7.130 Å, 90.01 65.60 67.42°
Element x y z (fractional)
C  0.580  0.621  0.745
Ti  0.082  0.118  0.746
Ti  0.479  0.222  0.616
Ti  0.290  0.911  0.001
Au  0.567  0.634  0.248
C  0.189  0.512  0.872
Au  0.202  0.499  0.369
Ti  0.686  0.014  0.870
Ti  0.867  0.334  0.482
Ti  0.902  0.799  0.135

E above lowest polymorph: 82 meV per atom
DFT formation energy: -0.540 eV/atom



[4]
This record from Alexandria describes a geometry-optimized NaZn2BPd structure. The functional is GGA-PBE.

Cell: 4.929 4.784 4.929 Å, 90.00 90.00 90.00°
Element x y z (fractional)
Zn  0.000  0.000  0.500
Na  0.000  0.000  0.000
Zn  0.500  0.000  0.000
B  0.500  0.500  0.500
Pd  0.000  0.500  0.000

DFT formation energy: 1.691 eV/atom



[5]
This record from Alexandria describes a geometry-optimized AgPtCl2 structure. The functional is GGA-PBE.

Cell: 7.874 7.874 7.874 Å, 27.03 27.03 27.03°
Element x y z (fractional)
Pt  0.498  0.498  0.498
Cl  0.025  0.025  0.025
Ag  0.757  0.757  0.757
Cl  0.220  0.220  0.220

E above lowest polymorph: 79 meV per atom
E_form (uncorrected): -0.045 eV per atom



[6]
This record from Alexandria describes a geometry-optimized AlRe2 structure. The functional is GGA-PBE.

Cell: 5.282 5.282 5.282 Å, 147.08 147.08 47.25°
Element x y z (fractional)
Re  0.168  0.168  0.000
Al  0.500  0.500  0.000
Re  0.832  0.832  0.000

DFT formation energy: -0.265 eV/atom



[7]
This record from Alexandria describes a geometry-optimized YTh2Zn6 structure. The functional is GGA-PBE.

Cell: 3.560 7.875 7.876 Å, 120.00 90.00 90.00°
Element x y z (fractional)
Zn  0.500  0.000  0.329
Th  0.000  0.333  0.667
Zn  0.500  0.671  0.671
Th  0.000  0.667  0.333
Zn  0.500  0.329  0.329
Y  0.000  0.000  0.000
Zn  0.500  0.671  0.000
Zn  0.500  0.000  0.671
Zn  0.500  0.329  0.000

DFT formation energy: -0.306 eV/atom



[8]
This record from Alexandria describes a geometry-optimized Na4In2As structure. The functional is GGA-PBE.

Cell: 5.676 5.676 8.618 Å, 70.77 70.77 90.00°
Element x y z (fractional)
Na  0.813  0.813  0.375
In  0.399  0.399  0.202
Na  0.000  0.500  0.000
As  0.000  0.000  0.000
Na  0.187  0.187  0.625
In  0.601  0.601  0.798
Na  0.500  0.000  0.000

DFT formation energy: -0.003 eV/atom



[9]
This record from Alexandria describes a geometry-optimized Pr4ZnCo structure. The functional is GGA-PBE.

Cell: 9.754 9.754 9.754 Å, 60.00 60.00 60.00°
Element x y z (fractional)
Co  0.609  0.173  0.609
Co  0.609  0.609  0.173
Pr  0.558  0.942  0.942
Zn  0.174  0.174  0.174
Pr  0.558  0.942  0.558
Pr  0.942  0.558  0.942
Pr  0.942  0.558  0.558
Pr  0.189  0.811  0.189
Pr  0.189  0.189  0.811
Pr  0.811  0.189  0.811
Pr  0.401  0.798  0.401
Pr  0.811  0.189  0.189
Zn  0.479  0.174  0.174
Pr  0.811  0.811  0.189
Zn  0.174  0.479  0.174
Co  0.173  0.609  0.609
Pr  0.401  0.401  0.401
Pr  0.401  0.401  0.798
Co  0.609  0.609  0.609
Pr  0.189  0.811  0.811
Pr  0.798  0.401  0.401
Zn  0.174  0.174  0.479
Pr  0.942  0.942  0.558
Pr  0.558  0.558  0.942

E above lowest polymorph: 0 meV per atom
DFT formation energy: -0.132 eV/atom



[10]
This record from Alexandria describes a geometry-optimized AcGdTmTl structure. The functional is GGA-PBE.

Cell: 5.629 5.629 5.629 Å, 60.00 60.00 60.00°
Element x y z (fractional)
Ac  0.500  0.500  0.500
Tl  0.000  0.000  0.000
Gd  0.250  0.250  0.250
Tm  0.750  0.750  0.750

DFT formation energy: 0.040 eV/atom



[11]
This record from Alexandria describes a geometry-optimized Ag5Te3 structure. The functional is GGA-PBE.

Cell: 8.906 8.906 5.550 Å, 90.00 90.00 120.00°
Element x y z (fractional)
Te  0.000  0.368  0.750
Ag  0.192  0.000  0.250
Te  0.000  0.632  0.250
Ag  0.333  0.667  0.000
Ag  0.000  0.192  0.250
Te  0.632  0.000  0.250
Ag  0.667  0.333  0.000
Te  0.632  0.632  0.750
Te  0.368  0.368  0.250
Ag  0.808  0.000  0.750
Ag  0.000  0.808  0.750
Ag  0.808  0.808  0.250
Te  0.368  0.000  0.750
Ag  0.192  0.192  0.750
Ag  0.333  0.667  0.500
Ag  0.667  0.333  0.500

E above lowest polymorph: 89 meV per atom
E_form (uncorrected): 0.077 eV per atom



[12]
This record from Alexandria describes a geometry-optimized LaPmSm5 structure. The functional is GGA-PBE.

Cell: 6.951 6.951 13.876 Å, 61.65 61.65 59.97°
Element x y z (fractional)
Sm  0.159  0.403  0.750
Sm  0.305  0.351  0.000
Sm  0.597  0.841  0.750
La  0.721  0.279  0.750
Pm  0.000  0.000  0.000
Sm  0.159  0.841  0.750
Pm  0.000  0.000  0.500
Sm  0.351  0.305  0.500
Sm  0.649  0.695  0.500
Sm  0.841  0.159  0.250
Sm  0.841  0.597  0.250
Sm  0.695  0.649  0.000
La  0.279  0.721  0.250
Sm  0.403  0.159  0.250

E above lowest polymorph: 0 meV per atom
DFT formation energy: 0.169 eV/atom



[13]
This record from Alexandria describes a geometry-optimized Ac4La3Ho structure. The functional is GGA-PBE.

Cell: 3.736 12.370 9.564 Å, 130.29 101.25 90.01°
Element x y z (fractional)
La  0.233  0.233  0.467
La  0.000  0.500  0.000
Ac  0.632  0.380  0.263
Ac  0.368  0.117  0.737
Ho  0.500  0.000  0.000
Ac  0.368  0.620  0.737
La  0.767  0.767  0.533
Ac  0.632  0.883  0.263

DFT formation energy: 0.125 eV/atom



[14]
This record from Alexandria describes a geometry-optimized Zn2RuBr structure. The functional is GGA-PBE.

Cell: 3.201 4.474 4.569 Å, 90.00 90.00 90.00°
Element x y z (fractional)
Zn  0.000  0.000  0.000
Br  0.500  0.000  0.500
Ru  0.000  0.500  0.500
Zn  0.500  0.500  0.000

E above lowest polymorph: 375 meV per atom
E_form (uncorrected): 0.494 eV per atom



[15]
This record from Alexandria describes a geometry-optimized TcPt2Rh6 structure. The functional is GGA-PBE.

Cell: 10.663 5.122 6.261 Å, 75.06 116.76 114.90°
Element x y z (fractional)
Rh  0.552  0.455  0.861
Rh  0.448  0.545  0.139
Pt  0.830  0.415  0.123
Tc  0.752  0.732  0.268
Rh  0.412  0.019  0.096
Rh  0.893  0.579  0.723
Pt  0.170  0.585  0.877
Rh  0.953  0.172  0.566
Rh  0.123  0.977  0.025
Rh  0.877  0.023  0.975
Rh  0.610  0.279  0.500
Tc  0.248  0.268  0.732
Rh  0.047  0.828  0.434
Pt  0.326  0.172  0.440
Pt  0.674  0.828  0.560
Rh  0.107  0.421  0.277
Rh  0.588  0.981  0.904
Rh  0.390  0.721  0.500

E above lowest polymorph: 30 meV per atom
DFT formation energy: 0.155 eV/atom



[16]
This record from Alexandria describes a geometry-optimized BaPb2F6 structure. The functional is GGA-PBE.

Cell: 4.552 6.814 7.715 Å, 69.70 72.84 70.49°
Element x y z (fractional)
F  0.976  0.845  0.204
F  0.365  0.686  0.584
Pb  0.179  0.765  0.877
F  0.242  0.381  0.135
Ba  0.000  0.500  0.500
Pb  0.821  0.235  0.123
F  0.635  0.314  0.416
F  0.758  0.619  0.865
F  0.024  0.155  0.796

E_form (uncorrected): -2.834 eV per atom



[17]
This record from Alexandria describes a geometry-optimized Cr2TcSb structure. The functional is GGA-PBE.

Cell: 4.404 4.404 4.404 Å, 60.00 60.00 60.00°
Element x y z (fractional)
Tc  0.750  0.750  0.750
Cr  0.250  0.250  0.250
Sb  0.500  0.500  0.500
Cr  0.000  0.000  0.000

E_form (uncorrected): 0.170 eV per atom



[18]
This record from Alexandria describes a geometry-optimized Ac2SnAu9 structure. The functional is GGA-PBE.

Cell: 5.855 5.855 9.823 Å, 72.66 72.66 60.00°
Element x y z (fractional)
Au  0.414  0.414  0.251
Au  0.667  0.667  0.000
Au  0.414  0.922  0.251
Ac  0.866  0.866  0.403
Au  0.586  0.078  0.749
Au  0.922  0.414  0.251
Au  0.500  0.500  0.500
Ac  0.134  0.134  0.597
Au  0.333  0.333  0.000
Au  0.078  0.586  0.749
Sn  0.000  0.000  0.000
Au  0.586  0.586  0.749

DFT formation energy: -0.361 eV/atom



[19]
This record from Alexandria describes a geometry-optimized TlBSbI2 structure. The functional is GGA-PBE.

Cell: 5.874 5.874 4.523 Å, 90.00 90.00 90.00°
Element x y z (fractional)
I  0.000  0.500  0.000
Sb  0.000  0.000  0.500
B  0.000  0.000  0.000
I  0.500  0.000  0.000
Tl  0.500  0.500  0.500

E above lowest polymorph: 0 meV per atom
E_form (uncorrected): 0.499 eV per atom



[20]
This record from Alexandria describes a geometry-optimized Al2RuCl structure. The functional is GGA-PBE.

Cell: 2.991 2.991 7.410 Å, 90.00 90.00 90.00°
Element x y z (fractional)
Ru  0.500  0.500  0.777
Al  0.000  0.000  0.967
Al  0.500  0.500  0.225
Cl  0.000  0.000  0.531

E above lowest polymorph: 676 meV per atom
E_form (uncorrected): 0.055 eV per atom



[21]
This record from Alexandria describes a geometry-optimized Ce2ZnH6Os structure. The functional is GGA-PBE.

Cell: 4.688 4.688 13.625 Å, 80.09 80.09 60.00°
Element x y z (fractional)
H  0.654  0.121  0.571
H  0.199  0.677  0.926
Zn  0.419  0.419  0.743
Zn  0.581  0.581  0.257
H  0.677  0.199  0.926
H  0.346  0.346  0.429
Os  0.000  0.000  0.000
H  0.346  0.879  0.429
Ce  0.295  0.295  0.116
H  0.121  0.654  0.571
Ce  0.872  0.872  0.384
H  0.654  0.654  0.571
Ce  0.128  0.128  0.616
H  0.199  0.199  0.926
H  0.801  0.323  0.074
Os  0.500  0.500  0.500
H  0.801  0.801  0.074
H  0.879  0.346  0.429
H  0.323  0.801  0.074
Ce  0.705  0.705  0.884



[22]
This record from Alexandria describes a geometry-optimized Nd6Sm2YMg structure. The functional is GGA-PBE.

Cell: 9.345 9.081 9.081 Å, 118.34 92.33 92.33°
Element x y z (fractional)
Nd  0.895  0.276  0.500
Nd  0.704  0.995  0.570
Sm  0.548  0.212  0.321
Nd  0.296  0.005  0.430
Nd  0.052  0.138  0.781
Y  0.750  0.023  0.977
Mg  0.750  0.579  0.421
Nd  0.552  0.781  0.138
Nd  0.105  0.724  0.500
Nd  0.395  0.500  0.276
Mg  0.250  0.421  0.579
Nd  0.605  0.500  0.724
Nd  0.948  0.862  0.219
Sm  0.952  0.679  0.788
Nd  0.204  0.570  0.995
Y  0.250  0.977  0.023
Sm  0.452  0.788  0.679
Nd  0.448  0.219  0.862
Sm  0.048  0.321  0.212
Nd  0.796  0.430  0.005

DFT formation energy: 0.108 eV/atom



[23]
This record from Alexandria describes a geometry-optimized BaPIr structure. The functional is GGA-PBE.

Cell: 4.760 4.760 4.760 Å, 60.00 60.00 60.00°
Element x y z (fractional)
P  0.000  0.000  0.000
Ir  0.750  0.750  0.750
Ba  0.500  0.500  0.500

DFT formation energy: 0.319 eV/atom



Total DFT energy (no corrections) / eV for the cell shown: -99.7 -9.1 -77.8 -7.3 -12.8 -29.4 -31.7 -15.4 -113.2 -24.9 -46.1 -64.2 -34.8 -11.5 -130.3 -46.1 -33.1 -46.0 -13.8 -18.4 -95.6 -90.1 -15.2